# 1
Below is a relaxed structure of KGaPtO, with properties calculated at the PBE level.

Cell lengths 9.792, 9.792, 4.141 Å; angles 90.00, 90.00, 157.60 degrees
Positions (direct):
O 0.076 0.924 0.753
O 0.924 0.076 0.253
K 0.562 0.438 0.253
K 0.438 0.562 0.753
Pt 0.247 0.753 0.247
Pt 0.753 0.247 0.747
Ga 0.832 0.168 0.246
Ga 0.168 0.832 0.746

***

# 2
Below is a relaxed structure of KGaPtO, with properties calculated at the PBE level.

Cell lengths 6.368, 6.368, 6.373 Å; angles 94.51, 94.51, 38.29 degrees
Positions (direct):
O 0.829 0.829 0.975
O 0.171 0.171 0.025
Pt 0.722 0.722 0.227
Pt 0.278 0.278 0.773
Ga 0.186 0.186 0.400
Ga 0.814 0.814 0.600
K 0.564 0.564 0.793
K 0.436 0.436 0.207

***

# 3
Below is a relaxed structure of KGaPtO, with properties calculated at the PBE level.

Cell lengths 6.451, 8.067, 8.067 Å; angles 22.37, 90.00, 90.00 degrees
Positions (direct):
K 0.000 0.475 0.475
K 0.500 0.606 0.606
O 0.202 0.148 0.148
O 0.798 0.148 0.148
Pt 0.500 0.346 0.346
Pt 0.000 0.663 0.663
Ga 0.207 0.808 0.808
Ga 0.793 0.808 0.808

***

# 4
Below is a relaxed structure of KGa3Os, with properties calculated at the PBE level.

Cell lengths 4.882, 4.882, 4.882 Å; angles 90.00, 90.00, 90.00 degrees
Positions (direct):
Os 0.500 0.500 0.500
Ga 0.000 0.500 0.500
Ga 0.500 0.000 0.500
Ga 0.500 0.500 0.000
K 0.000 0.000 0.000

***

# 5
Below is a relaxed structure of KGaPd, with properties calculated at the PBE level.

Cell lengths 4.810, 4.810, 4.810 Å; angles 60.00, 60.00, 60.00 degrees
Positions (direct):
K 0.000 0.000 0.000
Ga 0.500 0.500 0.500
Pd 0.250 0.250 0.250

***

# 6
Below is a relaxed structure of KGaPd, with properties calculated at the PBE level.

Cell lengths 5.005, 5.005, 5.005 Å; angles 60.00, 60.00, 60.00 degrees
Positions (direct):
K 0.000 0.000 0.000
Pd 0.750 0.750 0.750
Ga 0.250 0.250 0.250

***

# 7
Below is a relaxed structure of KGaPdSe3, with properties calculated at the PBE level.

Cell lengths 8.515, 4.237, 9.556 Å; angles 90.00, 104.57, 90.00 degrees
Positions (direct):
K 0.688 0.750 0.741
K 0.312 0.250 0.259
Pd 0.560 0.750 0.094
Pd 0.440 0.250 0.906
Se 0.289 0.750 0.900
Se 0.711 0.250 0.100
Se 0.358 0.250 0.641
Se 0.642 0.750 0.359
Se 0.947 0.250 0.648
Se 0.053 0.750 0.352
Ga 0.152 0.750 0.619
Ga 0.848 0.250 0.381

***

# 8
Below is a relaxed structure of KPmGa, with properties calculated at the PBE level.

Cell lengths 5.233, 5.233, 5.233 Å; angles 60.00, 60.00, 60.00 degrees
Positions (direct):
Pm 0.000 0.000 0.000
K 0.750 0.750 0.750
Ga 0.250 0.250 0.250

***

# 9
Below is a relaxed structure of K2TlGa3Pt2, with properties calculated at the PBE level.

Cell lengths 6.715, 6.715, 7.461 Å; angles 91.58, 91.58, 37.74 degrees
Positions (direct):
Ga 0.814 0.814 0.055
Ga 0.198 0.198 0.556
Ga 0.816 0.816 0.429
K 0.548 0.548 0.269
K 0.451 0.451 0.749
Pt 0.295 0.295 0.255
Pt 0.731 0.731 0.733
Tl 0.147 0.147 0.953

***

# 10
Below is a relaxed structure of KTmGa4Pt2, with properties calculated at the PBE level.

Cell lengths 6.968, 5.568, 5.568 Å; angles 46.00, 90.00, 90.00 degrees
Positions (direct):
Pt 0.000 0.796 0.796
Pt 0.500 0.207 0.207
Ga 0.199 0.362 0.362
Ga 0.692 0.639 0.639
Ga 0.801 0.362 0.362
Ga 0.308 0.639 0.639
K 0.000 0.078 0.078
Tm 0.500 0.920 0.920

***

# 11
Below is a relaxed structure of KYGa4Pt2, with properties calculated at the PBE level.

Cell lengths 6.961, 5.632, 5.632 Å; angles 45.60, 90.00, 90.00 degrees
Positions (direct):
Ga 0.803 0.360 0.360
Ga 0.692 0.640 0.640
Ga 0.308 0.640 0.640
Ga 0.197 0.360 0.360
Pt 0.000 0.796 0.796
Pt 0.500 0.208 0.208
Y 0.500 0.921 0.921
K 0.000 0.077 0.077

***

# 12
Below is a relaxed structure of KGaRe, with properties calculated at the PBE level.

Cell lengths 4.732, 4.732, 4.732 Å; angles 60.00, 60.00, 60.00 degrees
Positions (direct):
Ga 0.000 0.000 0.000
Re 0.750 0.750 0.750
K 0.250 0.250 0.250

***

# 13
Below is a relaxed structure of KGaRe, with properties calculated at the PBE level.

Cell lengths 5.031, 5.031, 5.031 Å; angles 60.00, 60.00, 60.00 degrees
Positions (direct):
Ga 0.250 0.250 0.250
Re 0.750 0.750 0.750
K 0.000 0.000 0.000

***

# 14
Below is a relaxed structure of KTbGaS3, with properties calculated at the PBE level.

Cell lengths 7.211, 7.211, 10.572 Å; angles 90.00, 90.00, 144.66 degrees
Positions (direct):
Ga 0.015 0.985 0.250
Ga 0.985 0.015 0.750
S 0.880 0.120 0.930
S 0.120 0.880 0.430
S 0.562 0.438 0.750
S 0.120 0.880 0.070
S 0.438 0.562 0.250
S 0.880 0.120 0.570
K 0.248 0.752 0.750
K 0.752 0.248 0.250
Tb 0.500 0.500 0.500
Tb 0.500 0.500 0.000

***

# 15
Below is a relaxed structure of KTmGaS3, with properties calculated at the PBE level.

Cell lengths 7.265, 7.265, 10.329 Å; angles 90.00, 90.00, 145.67 degrees
Positions (direct):
S 0.063 0.937 0.250
S 0.619 0.381 0.566
S 0.619 0.381 0.934
S 0.381 0.619 0.434
S 0.381 0.619 0.066
S 0.937 0.063 0.750
Tm 0.000 0.000 0.500
Tm 0.000 0.000 0.000
K 0.252 0.748 0.750
K 0.748 0.252 0.250
Ga 0.515 0.485 0.750
Ga 0.485 0.515 0.250

***

# 16
Below is a relaxed structure of KZrGaSe3, with properties calculated at the PBE level.

Cell lengths 7.703, 7.703, 10.791 Å; angles 90.00, 90.00, 148.90 degrees
Each line ends with the local moment (μB).
Positions (direct):
K 0.251 0.749 0.750  0.00
K 0.749 0.251 0.250  0.00
Se 0.437 0.563 0.250  0.00
Se 0.124 0.876 0.055  0.01
Se 0.124 0.876 0.445  0.01
Se 0.563 0.437 0.750  0.00
Se 0.876 0.124 0.945  0.01
Se 0.876 0.124 0.555  0.01
Ga 0.965 0.035 0.750  0.08
Ga 0.035 0.965 0.250  0.08
Zr 0.500 0.500 0.000  0.90
Zr 0.500 0.500 0.500  0.89

***

# 17
Below is a relaxed structure of KTbGa, with properties calculated at the PBE level.

Cell lengths 5.102, 5.102, 5.102 Å; angles 60.00, 60.00, 60.00 degrees
Positions (direct):
Tb 0.750 0.750 0.750
Ga 0.250 0.250 0.250
K 0.000 0.000 0.000

***

# 18
Below is a relaxed structure of KGaTc, with properties calculated at the PBE level.

Cell lengths 4.806, 4.806, 4.806 Å; angles 60.00, 60.00, 60.00 degrees
Positions (direct):
Ga 0.000 0.000 0.000
K 0.250 0.250 0.250
Tc 0.750 0.750 0.750

***

# 19
Below is a relaxed structure of KGaTc, with properties calculated at the PBE level.

Cell lengths 5.026, 5.026, 5.026 Å; angles 60.00, 60.00, 60.00 degrees
Positions (direct):
Ga 0.250 0.250 0.250
K 0.000 0.000 0.000
Tc 0.750 0.750 0.750

***

# 20
Below is a relaxed structure of KTmGaTe3, with properties calculated at the PBE level.

Cell lengths 8.065, 8.065, 11.579 Å; angles 90.00, 90.00, 145.95 degrees
Positions (direct):
Ga 0.025 0.975 0.750
Ga 0.975 0.025 0.250
Te 0.568 0.432 0.250
Te 0.432 0.568 0.750
Te 0.873 0.127 0.446
Te 0.127 0.873 0.554
Te 0.127 0.873 0.946
Te 0.873 0.127 0.054
Tm 0.500 0.500 0.500
Tm 0.500 0.500 0.000
K 0.745 0.255 0.750
K 0.255 0.745 0.250

***

These records have total energy values of -4.887; -4.274; -4.351; -4.522; -2.995; -2.452; -3.845; -2.471; -3.593; -4.281; -4.544; -3.897; -3.236; -4.826; -4.784; -4.736; -2.110; -3.579; -3.008; -3.917 eV/atom, in the order they appear.